1.
DFT (GGA-PBEsol) results for a relaxed structure of Re3Os.

```
16
Lattice="4.755 0.000 0.000 0.000 8.808 0.000 0.000 0.000 5.499" Properties=species:S:1:pos:R:3 pbc="T T T"
Re 0.404 2.202 0.680
Re 1.175 4.436 2.067
Re 1.175 8.776 2.067
Re 1.203 0.032 4.817
Re 1.203 4.372 4.817
Re 1.974 6.606 3.429
Re 2.781 2.202 2.070
Re 3.552 4.436 0.682
Re 3.552 8.776 0.682
Re 3.580 0.032 3.432
Re 3.580 4.372 3.432
Re 4.352 6.606 4.820
Os 0.406 2.202 3.432
Os 1.972 6.606 0.682
Os 2.783 2.202 4.817
Os 4.349 6.606 2.068
```

- SG = Pnma
- energy relative to the elements (eV/atom) = -0.0230
- final energy (eV per cell) = -209.217

2.
DFT (GGA-PBEsol) results for a relaxed structure of CaMn2Pb.

```
8
Lattice="4.240 0.000 0.000 0.000 4.240 0.000 0.000 0.000 8.918" Properties=species:S:1:pos:R:3 pbc="T T T"
Ca 0.000 0.000 0.000
Ca 2.120 2.120 4.459
Mn 0.000 0.000 4.459
Mn 0.000 2.120 2.230
Mn 2.120 0.000 6.689
Mn 2.120 2.120 0.000
Pb 0.000 2.120 6.689
Pb 2.120 0.000 2.230
```

- SG = I-4m2
- energy relative to the elements (eV/atom) = 0.4718
- final energy (eV per cell) = -47.534

3.
DFT (GGA-PBEsol) results for a relaxed structure of Cd5Rh3.

```
16
Lattice="7.438 0.000 0.000 0.000 8.411 0.000 0.000 0.000 4.265" Properties=species:S:1:pos:R:3 pbc="T T T"
Cd 0.000 0.000 0.000
Cd 1.670 4.206 2.132
Cd 1.859 2.103 0.000
Cd 1.859 6.308 0.000
Cd 2.049 0.000 2.132
Cd 3.719 4.206 0.000
Cd 5.388 0.000 2.132
Cd 5.578 2.103 0.000
Cd 5.578 6.308 0.000
Cd 5.768 4.206 2.132
Rh 0.000 1.944 2.132
Rh 0.000 4.206 0.000
Rh 0.000 6.467 2.132
Rh 3.719 0.000 0.000
Rh 3.719 2.261 2.132
Rh 3.719 6.150 2.132
```

- SG = Cmmm
- energy relative to the elements (eV/atom) = -0.0898
- final energy (eV per cell) = -62.238

4.
DFT (GGA-PBEsol) results for a relaxed structure of GeSbH2Au.

```
5
Lattice="3.794 0.000 0.000 0.000 3.794 0.000 0.000 0.000 5.340" Properties=species:S:1:pos:R:3 pbc="T T T"
Ge 0.000 0.000 0.000
Sb 1.897 1.897 0.000
H 0.000 1.897 2.670
H 1.897 0.000 2.670
Au 0.000 0.000 2.670
```

- SG = P4/mmm
- final energy (eV per cell) = -18.156

5.
DFT (GGA-PBEsol) results for a relaxed structure of Zr2AlCCl.

```
5
Lattice="4.670 0.000 0.000 0.000 4.670 0.000 0.000 0.000 4.289" Properties=species:S:1:pos:R:3 pbc="T T T"
Zr 0.000 2.335 0.000
Zr 2.335 0.000 0.000
Al 0.000 0.000 2.144
C 2.335 2.335 2.144
Cl 0.000 0.000 0.000
```

- SG = P4/mmm
- uncorrected formation energy (meV/atom) = 1328
- final energy (eV per cell) = -27.280

6.
DFT (GGA-PBEsol) results for a relaxed structure of Tl3PI.

```
5
Lattice="5.461 0.000 0.000 0.000 5.461 0.000 0.000 0.000 5.461" Properties=species:S:1:pos:R:3 pbc="T T T"
Tl 0.000 0.000 2.730
Tl 0.000 2.730 0.000
Tl 2.730 0.000 0.000
P 0.000 0.000 0.000
I 2.730 2.730 2.730
```

- SG = Pm-3m
- uncorrected formation energy (meV/atom) = 75
- final energy (eV per cell) = -15.074

7.
DFT (GGA-PBEsol) results for a relaxed structure of HfMoSI2.

```
5
Lattice="5.409 0.000 0.000 0.000 5.409 0.000 0.000 0.000 4.394" Properties=species:S:1:pos:R:3 pbc="T T T"
Hf 0.000 0.000 0.000
Mo 2.704 2.704 2.197
S 2.704 2.704 0.000
I 0.000 2.704 2.197
I 2.704 0.000 2.197
```

- SG = P4/mmm
- uncorrected formation energy (meV/atom) = 633
- final energy (eV per cell) = -27.024

8.
DFT (GGA-PBEsol) results for a relaxed structure of InHgF2.

```
16
Lattice="6.376 0.000 0.000 0.000 6.376 0.000 0.000 0.000 6.376" Properties=species:S:1:pos:R:3 pbc="T T T"
In 0.000 0.000 0.000
In 0.000 3.188 3.188
In 3.188 0.000 3.188
In 3.188 3.188 0.000
Hg 0.000 0.000 3.188
Hg 0.000 3.188 0.000
Hg 3.188 0.000 0.000
Hg 3.188 3.188 3.188
F 1.594 1.594 1.594
F 1.594 1.594 4.782
F 1.594 4.782 1.594
F 1.594 4.782 4.782
F 4.782 1.594 1.594
F 4.782 1.594 4.782
F 4.782 4.782 1.594
F 4.782 4.782 4.782
```

- SG = Fm-3m
- uncorrected formation energy (meV/atom) = -1110
- final energy (eV per cell) = -47.381

9.
DFT (GGA-PBEsol) results for a relaxed structure of CuH4SeO5.

```
44
Lattice="6.510 0.000 0.000 0.000 7.281 0.000 0.000 0.000 9.110" Properties=species:S:1:pos:R:3 pbc="T T T"
Cu 1.415 0.326 0.924
Cu 1.839 6.956 5.479
Cu 4.670 3.315 8.186
Cu 5.094 3.966 3.631
H 0.056 3.298 1.340
H 0.432 4.788 1.612
H 0.714 2.327 8.598
H 1.264 4.484 4.954
H 1.991 2.797 0.399
H 2.541 4.954 4.043
H 2.822 2.494 6.167
H 3.199 3.983 5.895
H 3.311 0.342 7.770
H 3.687 6.134 7.497
H 3.969 1.313 0.512
H 4.519 6.438 4.156
H 5.246 0.844 8.711
H 5.796 5.968 5.067
H 6.077 1.147 2.942
H 6.453 6.939 3.215
Se 0.122 5.747 7.854
Se 3.132 1.535 3.299
Se 3.377 5.175 1.256
Se 6.387 2.106 5.811
O 0.061 3.521 4.824
O 0.115 6.488 6.274
O 0.343 0.507 2.883
O 1.147 2.208 0.410
O 1.518 1.562 5.821
O 1.737 5.720 1.266
O 2.108 5.073 4.965
O 2.912 6.774 7.438
O 3.139 0.793 1.719
O 3.194 3.761 0.269
O 3.316 0.120 4.285
O 3.370 4.434 2.835
O 3.597 3.133 6.227
O 4.401 1.432 8.700
O 4.773 2.079 3.289
O 4.991 5.202 7.844
O 5.363 5.849 4.145
O 6.167 4.148 1.672
O 6.394 2.847 7.390
O 6.449 7.161 8.840
```

- SG = P2_12_12_1
- final energy (eV per cell) = -229.561

10.
DFT (GGA-PBEsol) results for a relaxed structure of Si2HgSb2.

```
10
Lattice="5.140 0.000 0.000 0.000 5.140 0.000 0.000 0.000 8.614" Properties=species:S:1:pos:R:3 pbc="T T T"
Si 0.000 0.000 1.194
Si 0.000 0.000 7.420
Si 2.570 2.570 3.113
Si 2.570 2.570 5.501
Hg 0.000 0.000 4.307
Hg 2.570 2.570 0.000
Sb 0.000 2.570 2.154
Sb 0.000 2.570 6.461
Sb 2.570 0.000 2.154
Sb 2.570 0.000 6.461
```

- SG = I4/mmm
- uncorrected formation energy (meV/atom) = 218
- energy relative to the lowest polymorph listed for this composition (eV per atom) = 0.0000
- final energy (eV per cell) = -40.165

11.
DFT (GGA-PBEsol) results for a relaxed structure of Zr2TiFe.

```
16
Lattice="6.469 0.000 0.000 0.000 6.469 0.000 0.000 0.000 6.469" Properties=species:S:1:pos:R:3 pbc="T T T"
Zr 1.617 1.617 1.617
Zr 1.617 1.617 4.852
Zr 1.617 4.852 1.617
Zr 1.617 4.852 4.852
Zr 4.852 1.617 1.617
Zr 4.852 1.617 4.852
Zr 4.852 4.852 1.617
Zr 4.852 4.852 4.852
Ti 0.000 0.000 0.000
Ti 0.000 3.235 3.235
Ti 3.235 0.000 3.235
Ti 3.235 3.235 0.000
Fe 0.000 0.000 3.235
Fe 0.000 3.235 0.000
Fe 3.235 0.000 0.000
Fe 3.235 3.235 3.235
```

- SG = Fm-3m
- energy relative to the elements (eV/atom) = 0.0608
- final energy (eV per cell) = -140.889

12.
DFT (GGA-PBEsol) results for a relaxed structure of Y2TlAs2.

```
10
Lattice="7.868 0.000 0.000 0.000 7.868 0.000 0.000 0.000 3.761" Properties=species:S:1:pos:R:3 pbc="T T T"
Y 1.237 2.696 0.000
Y 2.696 6.630 0.000
Y 5.171 1.237 0.000
Y 6.630 5.171 0.000
Tl 0.000 0.000 1.881
Tl 3.934 3.934 1.881
As 1.135 5.069 1.881
As 2.798 1.135 1.881
As 5.069 6.732 1.881
As 6.732 2.798 1.881
```

- SG = P4/mbm
- energy relative to the elements (eV/atom) = -1.0007
- final energy (eV per cell) = -62.982

Question: Which of these has the lowest final energy?
Answer: CuH4SeO5